No. 1
The following is a DFT calculation (PBE) of a relaxed CaCoCuP crystal.

Cell: 3.6061 3.6061 10.5582 Å, 90.00 90.00 90.00°
Fractional positions:
1 Co 0.2500 0.7500 0.0000
2 Co 0.7500 0.2500 0.0000
3 Ca 0.7500 0.7500 0.2563
4 Ca 0.2500 0.2500 0.7437
5 P 0.7500 0.7500 0.8781
6 P 0.2500 0.2500 0.1219
7 Cu 0.7500 0.2500 0.5000
8 Cu 0.2500 0.7500 0.5000

Summary:
Energy relative to the elements: -0.535 eV per atom


No. 2
The following is a DFT calculation (PBE) of a relaxed CaPrCoCu crystal.

Cell: 4.9546 4.9546 4.9546 Å, 60.00 60.00 60.00°
Fractional positions:
1 Pr 0.7500 0.7500 0.7500
2 Co 0.5000 0.5000 0.5000
3 Ca 0.2500 0.2500 0.2500
4 Cu 0.0000 0.0000 0.0000

Summary:
Energy relative to the elements: 0.074 eV per atom


No. 3
The following is a DFT calculation (PBE) of a relaxed CaSc2CoCu crystal.

Cell: 5.1330 4.4832 5.1330 Å, 90.00 90.00 90.00°
Fractional positions:
1 Cu 0.0000 0.5000 0.0000
2 Sc 0.0000 0.0000 0.5000
3 Sc 0.5000 0.0000 0.0000
4 Co 0.5000 0.5000 0.5000
5 Ca 0.0000 0.0000 0.0000

Summary:
Energy relative to the elements: 1.560 eV per atom


No. 4
The following is a DFT calculation (PBE) of a relaxed CaCoCu3Se4 crystal.

Cell: 5.9085 5.9085 5.9085 Å, 90.00 90.00 90.00°
Fractional positions:
1 Se 0.2299 0.7701 0.7701
2 Se 0.7701 0.7701 0.2299
3 Se 0.7701 0.2299 0.7701
4 Se 0.2299 0.2299 0.2299
5 Cu 0.0000 0.5000 0.0000
6 Cu 0.0000 0.0000 0.5000
7 Cu 0.5000 0.0000 0.0000
8 Co 0.0000 0.0000 0.0000
9 Ca 0.5000 0.5000 0.5000

Summary:
ΔE_f (raw): -0.417 eV per atom


No. 5
The following is a DFT calculation (PBE) of a relaxed CaTbCoCu crystal.

Cell: 4.8467 4.8467 4.8467 Å, 60.00 60.00 60.00°
Fractional positions:
1 Tb 0.5000 0.5000 0.5000
2 Co 0.7500 0.7500 0.7500
3 Ca 0.0000 0.0000 0.0000
4 Cu 0.2500 0.2500 0.2500

Summary:
Energy relative to the elements: 0.025 eV per atom


No. 6
The following is a DFT calculation (PBE) of a relaxed CaYCoCu2 crystal.

Cell: 4.7187 4.5780 4.7187 Å, 90.00 90.00 90.00°
Fractional positions:
1 Cu 0.5000 0.0000 0.0000
2 Cu 0.0000 0.0000 0.5000
3 Co 0.0000 0.0000 0.0000
4 Y 0.5000 0.5000 0.5000
5 Ca 0.0000 0.5000 0.0000

Summary:
Energy relative to the elements: 0.409 eV per atom


Number 1: theoretical density 4.7 g cm⁻³. Number 2: theoretical density 5.9 g cm⁻³. Number 3: theoretical density 3.5 g cm⁻³. Number 4: theoretical density 4.9 g cm⁻³. Number 5: theoretical density 6.6 g cm⁻³. Number 6: theoretical density 5.1 g cm⁻³.